A relaxed structure of Ga3SiTc2. Source: OQMD, functional PBE-GGA. Values from VASP.

Output
space-group type: P4mm (99)
total DFT energy (no corrections): -6.143 eV/atom

The structure in Quantum ESPRESSO input format:
```
&SYSTEM
  ibrav = 0, nat = 6, ntyp = 3
/
ATOMIC_SPECIES
Ga 69.72 Ga.upf
Si 28.09 Si.upf
Tc 98.00 Tc.upf
ATOMIC_POSITIONS crystal
Ga 0.5000 0.5000 0.1672
Ga 0.0000 0.0000 0.6623
Ga 0.5000 0.5000 0.8407
Si 0.0000 0.0000 0.3391
Tc 0.0000 0.0000 0.0070
Tc 0.5000 0.5000 0.4838
CELL_PARAMETERS angstrom
3.2129 0.0000 0.0000
0.0000 3.2129 0.0000
0.0000 0.0000 8.3317
```